(1)
VASP calculation (PBE) on a relaxed structure of PmPu2Cd.

* ρ: 11.25 g/cm3
* energy above the lowest structure with this stoichiometry: 0.0 meV per atom
* formation enthalpy at 0 K: 56.3 meV/atom
* SG: No. 123

Unit cell a=4.5617 b=4.5617 c=5.2851 alpha=90.00 beta=90.00 gamma=90.00
Positions (direct):
Pm: 0.0000 0.0000 0.0000
Pu: 0.0000 0.5000 0.5000
Pu: 0.5000 0.0000 0.5000
Cd: 0.5000 0.5000 0.0000

***

(2)
VASP calculation (PBE) on a relaxed structure of Pa3Se5O.

* ρ: 7.39 g/cm3
* SG: No. 12
* ΔE_f (raw): -14.18 eV/f.u.

Unit cell a=7.7646 b=7.7646 c=8.9487 alpha=105.01 beta=105.01 gamma=76.86
Positions (direct):
Pa: 0.0000 0.0000 0.0000
Pa: 0.0000 0.0000 0.5000
Pa: 0.2674 0.2674 0.4042
Pa: 0.3459 0.3459 0.8380
Pa: 0.6541 0.6541 0.1620
Pa: 0.7326 0.7326 0.5958
Se: 0.0041 0.6228 0.3688
Se: 0.2401 0.2401 0.0716
Se: 0.2886 0.7114 0.0000
Se: 0.3772 0.9959 0.6312
Se: 0.4865 0.4865 0.6616
Se: 0.5135 0.5135 0.3384
Se: 0.6228 0.0041 0.3688
Se: 0.7114 0.2886 0.0000
Se: 0.7599 0.7599 0.9284
Se: 0.9959 0.3772 0.6312
O: 0.0719 0.0719 0.2839
O: 0.9281 0.9281 0.7161

***

The following spin magnetization values (in μB/f.u.) correspond, in order, to the records above: 12.5 3.0.